(1)
# KRb4Zn3F12 PBE relaxed
data_KRb4Zn3F12
_cell_length_a 8.6889
_cell_length_b 8.6889
_cell_length_c 8.6889
_cell_angle_alpha 90.00
_cell_angle_beta 90.00
_cell_angle_gamma 90.00
_symmetry_space_group_name_H-M 'I m -3 m'
_symmetry_Int_Tables_number 229
_symmetry_space_group_name_Hall '-I 4 2 3'
loop_
_atom_site_label
_atom_site_type_symbol
_atom_site_fract_x
_atom_site_fract_y
_atom_site_fract_z
K1 K 0.0000 0.0000 0.0000
Rb1 Rb 0.2500 0.2500 0.2500
Zn1 Zn 0.0000 0.0000 0.5000
F1 F 0.0000 0.0000 0.2826
F2 F 0.0000 0.2500 0.5000
# * formation energy without anion corrections: -57.1 kcal/mol of atoms

(2)
# NaLa2C PBE relaxed
data_NaLa2C
_cell_length_a 7.6800
_cell_length_b 7.6800
_cell_length_c 8.8403
_cell_angle_alpha 90.00
_cell_angle_beta 90.00
_cell_angle_gamma 90.00
_symmetry_space_group_name_H-M 'I -4 2 d'
_symmetry_Int_Tables_number 122
_symmetry_space_group_name_Hall 'I -4 2bw'
loop_
_atom_site_label
_atom_site_type_symbol
_atom_site_fract_x
_atom_site_fract_y
_atom_site_fract_z
Na1 Na 0.0000 0.0000 0.0000
La1 La 0.1337 0.2500 0.6250
C1 C 0.0000 0.0000 0.5000
# * ΔH_f (0 K): 0.2104 eV/atom

(3)
# LaGdDyTh PBE relaxed
data_LaGdDyTh
_cell_length_a 8.1088
_cell_length_b 8.1088
_cell_length_c 8.1088
_cell_angle_alpha 90.00
_cell_angle_beta 90.00
_cell_angle_gamma 90.00
_symmetry_space_group_name_H-M 'F -4 3 m'
_symmetry_Int_Tables_number 216
_symmetry_space_group_name_Hall 'F -4 2 3'
loop_
_atom_site_label
_atom_site_type_symbol
_atom_site_fract_x
_atom_site_fract_y
_atom_site_fract_z
La1 La 0.0000 0.0000 0.0000
Gd1 Gd 0.2500 0.2500 0.7500
Dy1 Dy 0.2500 0.2500 0.2500
Th1 Th 0.0000 0.0000 0.5000
# * ΔH_f (0 K): 0.1329 eV/atom

(4)
# Tl2NiBr PBE relaxed
data_Tl2NiBr
_cell_length_a 3.4898
_cell_length_b 3.4776
_cell_length_c 7.8833
_cell_angle_alpha 90.00
_cell_angle_beta 95.23
_cell_angle_gamma 90.00
_symmetry_space_group_name_H-M 'P 1 2/m 1'
_symmetry_Int_Tables_number 10
loop_
_symmetry_equiv_pos_as_xyz
'x,y,z'
'-x,-y,-z'
'-x,y,-z'
'x,-y,z'
loop_
_atom_site_label
_atom_site_type_symbol
_atom_site_fract_x
_atom_site_fract_y
_atom_site_fract_z
Tl1 Tl 0.0344 0.0000 0.2025
Ni1 Ni 0.5000 0.5000 0.0000
Br1 Br 0.5000 0.5000 0.5000
# * formation energy without anion corrections: 2.2 kcal/mol of atoms
# * polymorph energy (0 for the lowest one): 0.1309 eV per atom

(5)
# Na2NpO5 PBE relaxed
data_Na2NpO5
_cell_length_a 10.8109
_cell_length_b 7.0317
_cell_length_c 5.8353
_cell_angle_alpha 90.00
_cell_angle_beta 90.00
_cell_angle_gamma 90.00
_symmetry_space_group_name_H-M 'P n m a'
_symmetry_Int_Tables_number 62
loop_
_symmetry_equiv_pos_as_xyz
'x,y,z'
'-x,-y,-z'
'-x+1/2,-y,z+1/2'
'x+1/2,y,-z+1/2'
'x+1/2,-y+1/2,-z+1/2'
'-x+1/2,y+1/2,z+1/2'
'-x,y+1/2,-z'
'x,-y+1/2,z'
loop_
_atom_site_label
_atom_site_type_symbol
_atom_site_fract_x
_atom_site_fract_y
_atom_site_fract_z
Na1 Na 0.1743 0.0032 0.0012
Np1 Np 0.0380 0.7500 0.4594
O1 O 0.0444 0.2500 0.8261
O2 O 0.0947 0.0641 0.3983
O3 O 0.1287 0.7500 0.7373
O4 O 0.1985 0.7500 0.2920
# * formation energy without anion corrections: -46.6 kcal/mol of atoms

(6)
# RbLa2Co PBE relaxed
data_RbLa2Co
_cell_length_a 8.1474
_cell_length_b 8.1474
_cell_length_c 11.5481
_cell_angle_alpha 90.00
_cell_angle_beta 90.00
_cell_angle_gamma 90.00
_symmetry_space_group_name_H-M 'I 41/a m d'
_symmetry_Int_Tables_number 141
loop_
_symmetry_equiv_pos_as_xyz
'x,y,z'
'-x,-y,-z'
'-y+1/4,x+3/4,z+1/4'
'y+1/4,-x+3/4,-z+1/4'
'-x+1/2,-y,z+1/2'
'x+1/2,y,-z+1/2'
'y+1/4,-x+1/4,z+3/4'
'-y+1/4,x+1/4,-z+3/4'
'x,-y,-z'
'-x,y,z'
'-y+1/4,-x+1/4,-z+3/4'
'y+1/4,x+1/4,z+3/4'
'-x+1/2,y,-z+1/2'
'x+1/2,-y,z+1/2'
'y+1/4,x+3/4,-z+1/4'
'-y+1/4,-x+3/4,z+1/4'
'x+1/2,y+1/2,z+1/2'
'-x+1/2,-y+1/2,-z+1/2'
'-y+3/4,x+1/4,z+3/4'
'y+3/4,-x+1/4,-z+3/4'
'-x,-y+1/2,z'
'x,y+1/2,-z'
'y+3/4,-x+3/4,z+1/4'
'-y+3/4,x+3/4,-z+1/4'
'x+1/2,-y+1/2,-z+1/2'
'-x+1/2,y+1/2,z+1/2'
'-y+3/4,-x+3/4,-z+1/4'
'y+3/4,x+3/4,z+1/4'
'-x,y+1/2,-z'
'x,-y+1/2,z'
'y+3/4,x+1/4,-z+3/4'
'-y+3/4,-x+1/4,z+3/4'
loop_
_atom_site_label
_atom_site_type_symbol
_atom_site_fract_x
_atom_site_fract_y
_atom_site_fract_z
Rb1 Rb 0.0000 0.2500 0.3750
La1 La 0.0000 0.0000 0.0000
Co1 Co 0.0000 0.2500 0.8750
# * ΔH_f (0 K): 0.2591 eV/atom
# * polymorph energy (0 for the lowest one): 0.2306 eV per atom

(7)
# Ca2TiAl2 PBE relaxed
data_Ca2TiAl2
_cell_length_a 7.2611
_cell_length_b 7.2611
_cell_length_c 4.8623
_cell_angle_alpha 90.00
_cell_angle_beta 90.00
_cell_angle_gamma 90.00
_symmetry_space_group_name_H-M 'P 4/m b m'
_symmetry_Int_Tables_number 127
_symmetry_space_group_name_Hall '-P 4 2ab'
loop_
_atom_site_label
_atom_site_type_symbol
_atom_site_fract_x
_atom_site_fract_y
_atom_site_fract_z
Ca1 Ca 0.1738 0.3262 0.0000
Ti1 Ti 0.0000 0.0000 0.5000
Al1 Al 0.1325 0.6325 0.5000
# * ΔH_f (0 K): 0.0609 eV/atom
# * polymorph energy (0 for the lowest one): 0.0000 eV per atom

(8)
# Si2SbP PBE relaxed
data_Si2SbP
_cell_length_a 5.3954
_cell_length_b 5.3954
_cell_length_c 5.3106
_cell_angle_alpha 90.00
_cell_angle_beta 90.00
_cell_angle_gamma 90.00
_symmetry_space_group_name_H-M 'I 4/m m m'
_symmetry_Int_Tables_number 139
_symmetry_space_group_name_Hall '-I 4 2'
loop_
_atom_site_label
_atom_site_type_symbol
_atom_site_fract_x
_atom_site_fract_y
_atom_site_fract_z
Si1 Si 0.0000 0.5000 0.0000
Sb1 Sb 0.0000 0.0000 0.0000
P1 P 0.0000 0.0000 0.5000
# * formation energy without anion corrections: 7.7 kcal/mol of atoms
# * polymorph energy (0 for the lowest one): 0.1089 eV per atom

(9)
# ErAgS2 PBE relaxed
data_ErAgS2
_cell_length_a 3.9864
_cell_length_b 3.9864
_cell_length_c 18.5554
_cell_angle_alpha 90.00
_cell_angle_beta 90.00
_cell_angle_gamma 120.00
_symmetry_space_group_name_H-M 'R -3 m'
_symmetry_Int_Tables_number 166
_symmetry_space_group_name_Hall '-R 3 2"'
loop_
_atom_site_label
_atom_site_type_symbol
_atom_site_fract_x
_atom_site_fract_y
_atom_site_fract_z
Er1 Er 0.0000 0.0000 0.0000
Ag1 Ag 0.0000 0.0000 0.5000
S1 S 0.0000 0.0000 0.2542
# * formation energy without anion corrections: -29.6 kcal/mol of atoms

(10)
# Sr5Hg2P PBE relaxed
data_Sr5Hg2P
_cell_length_a 18.7144
_cell_length_b 7.6850
_cell_length_c 8.6146
_cell_angle_alpha 90.00
_cell_angle_beta 97.03
_cell_angle_gamma 90.00
_symmetry_space_group_name_H-M 'C 1 2/c 1'
_symmetry_Int_Tables_number 15
loop_
_symmetry_equiv_pos_as_xyz
'x,y,z'
'-x,-y,-z'
'-x,y,-z+1/2'
'x,-y,z+1/2'
'x+1/2,y+1/2,z'
'-x+1/2,-y+1/2,-z'
'-x+1/2,y+1/2,-z+1/2'
'x+1/2,-y+1/2,z+1/2'
loop_
_atom_site_label
_atom_site_type_symbol
_atom_site_fract_x
_atom_site_fract_y
_atom_site_fract_z
Sr1 Sr 0.0000 0.0839 0.2500
Sr2 Sr 0.0968 0.3789 0.9259
Sr3 Sr 0.2195 0.0718 0.3011
Hg1 Hg 0.1002 0.2118 0.5690
P1 P 0.2500 0.2500 0.0000
# * ΔH_f (0 K): -0.5567 eV/atom

(11)
# SrCe3Pr2Te6 PBE relaxed
data_SrCe3Pr2Te6
_cell_length_a 19.8853
_cell_length_b 4.5156
_cell_length_c 9.1498
_cell_angle_alpha 90.00
_cell_angle_beta 104.01
_cell_angle_gamma 90.00
_symmetry_space_group_name_H-M 'C 1 2/m 1'
_symmetry_Int_Tables_number 12
loop_
_symmetry_equiv_pos_as_xyz
'x,y,z'
'-x,-y,-z'
'-x,y,-z'
'x,-y,z'
'x+1/2,y+1/2,z'
'-x+1/2,-y+1/2,-z'
'-x+1/2,y+1/2,-z'
'x+1/2,-y+1/2,z'
loop_
_atom_site_label
_atom_site_type_symbol
_atom_site_fract_x
_atom_site_fract_y
_atom_site_fract_z
Sr1 Sr 0.0000 0.0000 0.0000
Ce1 Ce 0.0000 0.0000 0.5000
Ce2 Ce 0.1665 0.5000 0.8307
Pr1 Pr 0.1708 0.5000 0.3414
Te1 Te 0.0012 0.5000 0.2551
Te2 Te 0.1643 0.0000 0.5854
Te3 Te 0.1684 0.0000 0.0836
# * formation energy without anion corrections: -33.2 kcal/mol of atoms

(12)
# Tb4Er3Tm5 PBE relaxed
data_Tb4Er3Tm5
_cell_length_a 6.0766
_cell_length_b 7.0249
_cell_length_c 8.5861
_cell_angle_alpha 89.99
_cell_angle_beta 89.97
_cell_angle_gamma 89.93
_symmetry_space_group_name_H-M 'P -1'
_symmetry_Int_Tables_number 2
loop_
_symmetry_equiv_pos_as_xyz
'x,y,z'
'-x,-y,-z'
loop_
_atom_site_label
_atom_site_type_symbol
_atom_site_fract_x
_atom_site_fract_y
_atom_site_fract_z
Tb1 Tb 0.1671 0.2510 0.3324
Tb2 Tb 0.3322 0.9998 0.6679
Er1 Er 0.0000 0.5000 0.0000
Er2 Er 0.1675 0.7495 0.3323
Tm1 Tm 0.0000 0.0000 0.0000
Tm2 Tm 0.3334 0.4998 0.6681
Tm3 Tm 0.5004 0.2508 0.0001
# * ΔH_f (0 K): 0.0218 eV/atom
# * polymorph energy (0 for the lowest one): 0.0000 eV per atom

(13)
# CdWSe2 PBE relaxed
data_CdWSe2
_cell_length_a 3.2434
_cell_length_b 3.2434
_cell_length_c 29.8111
_cell_angle_alpha 90.00
_cell_angle_beta 90.00
_cell_angle_gamma 120.00
_symmetry_space_group_name_H-M 'R -3 m'
_symmetry_Int_Tables_number 166
_symmetry_space_group_name_Hall '-R 3 2"'
loop_
_atom_site_label
_atom_site_type_symbol
_atom_site_fract_x
_atom_site_fract_y
_atom_site_fract_z
Cd1 Cd 0.0000 0.0000 0.0000
W1 W 0.0000 0.0000 0.5000
Se1 Se 0.0000 0.0000 0.1079
# * formation energy without anion corrections: -4.2 kcal/mol of atoms

(14)
# Al2RuCl2 PBE relaxed
data_Al2RuCl2
_cell_length_a 3.6066
_cell_length_b 3.6066
_cell_length_c 16.4103
_cell_angle_alpha 90.00
_cell_angle_beta 90.00
_cell_angle_gamma 90.00
_symmetry_space_group_name_H-M 'I 4/m m m'
_symmetry_Int_Tables_number 139
_symmetry_space_group_name_Hall '-I 4 2'
loop_
_atom_site_label
_atom_site_type_symbol
_atom_site_fract_x
_atom_site_fract_y
_atom_site_fract_z
Al1 Al 0.0000 0.5000 0.2500
Ru1 Ru 0.0000 0.0000 0.0000
Cl1 Cl 0.0000 0.0000 0.4047
# * formation energy without anion corrections: 12.3 kcal/mol of atoms
# * polymorph energy (0 for the lowest one): 0.2924 eV per atom

(15)
# WBrCl2 PBE relaxed
data_WBrCl2
_cell_length_a 6.9115
_cell_length_b 3.0713
_cell_length_c 8.3352
_cell_angle_alpha 90.00
_cell_angle_beta 99.33
_cell_angle_gamma 90.00
_symmetry_space_group_name_H-M 'C 1 m 1'
_symmetry_Int_Tables_number 8
loop_
_symmetry_equiv_pos_as_xyz
'x,y,z'
'x,-y,z'
'x+1/2,y+1/2,z'
'x+1/2,-y+1/2,z'
loop_
_atom_site_label
_atom_site_type_symbol
_atom_site_fract_x
_atom_site_fract_y
_atom_site_fract_z
W1 W 0.0000 0.0000 0.0000
Br1 Br 0.2617 0.0000 0.8070
Cl1 Cl 0.0001 0.5000 0.4981
Cl2 Cl 0.2322 0.5000 0.1725
# * formation energy without anion corrections: 3.7 kcal/mol of atoms
# * polymorph energy (0 for the lowest one): 0.5067 eV per atom

(16)
# Pu3Sb2H4Pd2 PBE relaxed
data_Pu3Sb2H4Pd2
_cell_length_a 3.9485
_cell_length_b 3.9485
_cell_length_c 22.3329
_cell_angle_alpha 90.00
_cell_angle_beta 90.00
_cell_angle_gamma 90.00
_symmetry_space_group_name_H-M 'I 4/m m m'
_symmetry_Int_Tables_number 139
_symmetry_space_group_name_Hall '-I 4 2'
loop_
_atom_site_label
_atom_site_type_symbol
_atom_site_fract_x
_atom_site_fract_y
_atom_site_fract_z
Pu1 Pu 0.0000 0.0000 0.0000
Pu2 Pu 0.0000 0.0000 0.1420
Sb1 Sb 0.0000 0.0000 0.2916
H1 H 0.0000 0.5000 0.0704
Pd1 Pd 0.0000 0.0000 0.4312
# * DFT total energy: -0.52713 Ry/atom

(17)
# CuSi3 PBE relaxed
data_CuSi3
_cell_length_a 5.3944
_cell_length_b 5.3944
_cell_length_c 4.4635
_cell_angle_alpha 90.00
_cell_angle_beta 90.00
_cell_angle_gamma 120.00
_symmetry_space_group_name_H-M 'P 63/m m c'
_symmetry_Int_Tables_number 194
_symmetry_space_group_name_Hall '-P 6c 2c'
loop_
_atom_site_label
_atom_site_type_symbol
_atom_site_fract_x
_atom_site_fract_y
_atom_site_fract_z
Cu1 Cu 0.3333 0.6667 0.2500
Si1 Si 0.1711 0.3421 0.7500
# * formation energy without anion corrections: 9.9 kcal/mol of atoms

(18)
# Mg2BiN PBE relaxed
data_Mg2BiN
_cell_length_a 3.3264
_cell_length_b 3.3264
_cell_length_c 22.5464
_cell_angle_alpha 90.00
_cell_angle_beta 90.00
_cell_angle_gamma 120.00
_symmetry_space_group_name_H-M 'R -3 m'
_symmetry_Int_Tables_number 166
_symmetry_space_group_name_Hall '-R 3 2"'
loop_
_atom_site_label
_atom_site_type_symbol
_atom_site_fract_x
_atom_site_fract_y
_atom_site_fract_z
Mg1 Mg 0.0000 0.0000 0.2117
Bi1 Bi 0.0000 0.0000 0.0000
N1 N 0.0000 0.0000 0.5000
# * formation energy without anion corrections: -12.0 kcal/mol of atoms
# * polymorph energy (0 for the lowest one): 0.0000 eV per atom